# 1
Below is ScPN2F after structural relaxation, with properties calculated at the GGA-PBE level.

Cell lengths 3.6671, 3.6671, 3.7605 Å; angles 90.00, 90.00, 90.00 degrees
Closest atoms and distances in Å follow each position.
Element x y z (fractional)
F 0.0000 0.0000 0.5000  2 P 1.88
N 0.0000 0.5000 0.0000  2 P 1.83
N 0.5000 0.0000 0.0000  2 P 1.83
Sc 0.5000 0.5000 0.5000  4 F 2.59, 8 N 2.63
P 0.0000 0.0000 0.0000  4 N 1.83, 2 F 1.88

Computed properties:
**V**: 10.114 Å³ per atom
**Space-group type**: No. 123
**Polymorph energy (0 for the lowest one)**: 0 meV/atom
**Formation energy (no corrections)**: -48.4 kJ per mole of atoms

---

# 2
Below is Pm4SmPa3N8 after structural relaxation, with properties calculated at the GGA-PBE level.

Cell lengths 7.1256, 7.1315, 7.1256 Å; angles 119.97, 120.00, 90.00 degrees
Closest atoms and distances in Å follow each position.
Element x y z (fractional)
N 0.2492 0.7222 0.4983  2 Pa 2.39, 1 Sm 2.52, 3 Pm 2.54-2.66
N 0.2762 0.2778 0.0270  2 Pa 2.39, 1 Sm 2.52, 3 Pm 2.54-2.66
N 0.7238 0.7222 0.9730  2 Pa 2.39, 1 Sm 2.52, 3 Pm 2.54-2.66
N 0.7508 0.2778 0.5017  2 Pa 2.39, 1 Sm 2.52, 3 Pm 2.54-2.66
N 0.2492 0.7222 0.9730  2 Pa 2.39, 1 Sm 2.52, 3 Pm 2.54-2.66
N 0.7394 0.7183 0.4789  3 Pa 2.42, 3 Pm 2.63
N 0.7508 0.2778 0.0270  2 Pa 2.39, 1 Sm 2.52, 3 Pm 2.54-2.66
N 0.2606 0.2817 0.5211  3 Pa 2.42, 3 Pm 2.63
Pm 0.0000 0.0000 0.5000  6 N 2.63-2.66
Pm 0.5000 0.0000 0.5000  6 N 2.63-2.66
Pm 0.0000 0.0000 0.0000  6 N 2.63-2.66
Pm 0.5000 0.0000 0.0000  6 N 2.54
Sm 0.0000 0.5000 0.0000  6 N 2.52
Pa 0.0000 0.5000 0.5000  6 N 2.39-2.42
Pa 0.5000 0.5000 0.5000  6 N 2.39-2.42
Pa 0.5000 0.5000 0.0000  6 N 2.39-2.42

Computed properties:
**V**: 16.009 Å³ per atom
**Space-group type**: No. 166
**Formation energy (no corrections)**: -153.0 kJ per mole of atoms

---

# 3
Below is Ru2PbCl after structural relaxation, with properties calculated at the GGA-PBE level.

Cell lengths 4.5784, 4.5784, 8.4409 Å; angles 74.26, 74.26, 90.00 degrees
Closest atoms and distances in Å follow each position.
Element x y z (fractional)
Ru 0.2396 0.6250 0.2500  2 Cl 2.34, 2 Ru 2.60
Ru 0.5104 0.1250 0.2500  2 Cl 2.34, 2 Ru 2.60
Ru 0.8750 0.7604 0.7500  2 Cl 2.34, 2 Ru 2.60
Ru 0.3750 0.4896 0.7500  2 Cl 2.34, 2 Ru 2.60
Cl 0.5000 0.5000 0.0000  4 Ru 2.34
Cl 0.2500 0.7500 0.5000  4 Ru 2.34
Pb 0.0000 0.0000 0.0000  4 Ru 2.81
Pb 0.7500 0.2500 0.5000  4 Ru 2.81

Computed properties:
**V**: 20.425 Å³ per atom
**Space-group type**: No. 122
**Polymorph energy (0 for the lowest one)**: 473 meV/atom
**Formation energy (no corrections)**: 61.6 kJ per mole of atoms

---

# 4
Below is Er4OsPd3 after structural relaxation, with properties calculated at the GGA-PBE level.

Cell lengths 3.4202, 3.4202, 14.0160 Å; angles 90.00, 90.00, 90.00 degrees
Closest atoms and distances in Å follow each position.
Element x y z (fractional)
Er 0.0000 0.0000 0.8825  4 Os 2.93, 4 Pd 3.05
Er 0.0000 0.0000 0.3730  8 Pd 2.97-3.00
Er 0.0000 0.0000 0.1175  4 Os 2.93, 4 Pd 3.05
Er 0.0000 0.0000 0.6270  8 Pd 2.97-3.00
Pd 0.5000 0.5000 0.2501  8 Er 2.97-3.05
Pd 0.5000 0.5000 0.5000  8 Er 3.00
Pd 0.5000 0.5000 0.7499  8 Er 2.97-3.05
Os 0.5000 0.5000 0.0000  8 Er 2.93

Computed properties:
**V**: 20.494 Å³ per atom
**Space-group type**: No. 123
**DFT formation energy**: -781 meV/atom

---

# 5
Below is BaAl2Au2 after structural relaxation, with properties calculated at the GGA-PBE level.

Cell lengths 4.7166, 4.7166, 6.3097 Å; angles 68.05, 68.05, 90.00 degrees
Closest atoms and distances in Å follow each position.
Element x y z (fractional)
Al 0.6362 0.6362 0.7276  4 Au 2.65, 1 Al 2.92
Al 0.3638 0.3638 0.2724  4 Au 2.65, 1 Al 2.92
Au 0.2500 0.7500 0.5000  4 Al 2.65
Au 0.7500 0.2500 0.5000  4 Al 2.65
Ba 0.0000 0.0000 0.0000  8 Au 3.57, 10 Al 3.64-3.90

Computed properties:
**V**: 23.831 Å³ per atom
**Space-group type**: No. 139
**DFT formation energy**: -534 meV/atom

---

# 6
Below is Ba6Hg5N after structural relaxation, with properties calculated at the GGA-PBE level.

Cell lengths 8.0761, 10.5359, 7.8330 Å; angles 112.48, 97.87, 124.26 degrees
Closest atoms and distances in Å follow each position.
Element x y z (fractional)
Hg 0.3790 0.3790 0.7580  1 Hg 3.11, 2 Ba 3.46
Hg 0.6210 0.6210 0.2420  1 Hg 3.11, 2 Ba 3.46
Hg 0.0000 0.5000 0.0000  2 Hg 3.31
Hg 0.7423 0.2423 0.4847  1 Hg 3.31, 4 Ba 3.56
Hg 0.2577 0.7577 0.5153  1 Hg 3.31, 4 Ba 3.56
Ba 0.5431 0.8110 0.0000  1 N 3.05
Ba 0.1484 0.9572 0.2934  1 N 2.75
Ba 0.4569 0.1890 0.0000  1 N 3.05
Ba 0.1449 0.3362 0.2934  1 N 2.75
Ba 0.8551 0.6638 0.7066  1 N 2.75
Ba 0.8516 0.0428 0.7066  1 N 2.75
N 0.0000 0.0000 0.0000  6 Ba 2.75-3.05

Computed properties:
**V**: 37.639 Å³ per atom
**Space-group type**: No. 12
**Formation energy (no corrections)**: -37.7 kJ per mole of atoms

---

# 7
Below is NpTe2P after structural relaxation, with properties calculated at the GGA-PBE level.

Cell lengths 3.8383, 3.8383, 9.6406 Å; angles 78.52, 78.52, 60.00 degrees
Closest atoms and distances in Å follow each position.
Element x y z (fractional)
Te 0.1083 0.1083 0.6752  3 P 2.76, 1 Np 3.05
Te 0.8917 0.8917 0.3248  3 P 2.76, 1 Np 3.05
Np 0.0000 0.0000 0.0000  2 Te 3.05
P 0.5000 0.5000 0.5000  6 Te 2.76

Computed properties:
**V**: 29.927 Å³ per atom
**Space-group type**: No. 166
**Formation energy (no corrections)**: 45.0 kJ per mole of atoms

---

# 8
Below is ZrCd5Ag after structural relaxation, with properties calculated at the GGA-PBE level.

Cell lengths 6.0222, 6.0222, 10.4556 Å; angles 79.28, 79.28, 60.41 degrees
Closest atoms and distances in Å follow each position.
Element x y z (fractional)
Cd 0.3027 0.1710 0.8174  1 Ag 2.80, 4 Cd 2.90-3.12, 2 Zr 3.08-3.09
Cd 0.6954 0.5976 0.9634  3 Cd 2.90-3.04, 1 Ag 3.11, 1 Zr 3.17
Cd 0.1913 0.8087 0.2500  2 Ag 2.86, 2 Zr 3.00-3.06, 4 Cd 3.06-3.12
Cd 0.8290 0.6973 0.6826  1 Ag 2.80, 4 Cd 2.90-3.12, 2 Zr 3.08-3.09
Cd 0.3046 0.4024 0.0366  3 Cd 2.90-3.04, 1 Ag 3.11, 1 Zr 3.17
Cd 0.6973 0.8290 0.1826  1 Ag 2.80, 4 Cd 2.90-3.12, 2 Zr 3.08-3.09
Cd 0.8087 0.1913 0.7500  2 Ag 2.86, 2 Zr 3.00-3.06, 4 Cd 3.06-3.12
Cd 0.1710 0.3027 0.3174  1 Ag 2.80, 4 Cd 2.90-3.12, 2 Zr 3.08-3.09
Cd 0.4024 0.3046 0.5366  3 Cd 2.90-3.04, 1 Ag 3.11, 1 Zr 3.17
Cd 0.5976 0.6954 0.4634  3 Cd 2.90-3.04, 1 Ag 3.11, 1 Zr 3.17
Ag 0.0000 0.0000 0.0000  6 Cd 2.80-3.11
Ag 0.0000 0.0000 0.5000  6 Cd 2.80-3.11
Zr 0.3135 0.6865 0.7500  10 Cd 3.00-3.29, 2 Ag 3.23
Zr 0.6865 0.3135 0.2500  10 Cd 3.00-3.29, 2 Ag 3.23

Computed properties:
**V**: 23.000 Å³ per atom
**Space-group type**: No. 15
**DFT formation energy**: 72 meV/atom

---

# 9
Below is K3Sn5Pt6 after structural relaxation, with properties calculated at the GGA-PBE level.

Cell lengths 4.1562, 12.6335, 12.8340 Å; angles 90.00, 90.00, 90.00 degrees
Closest atoms and distances in Å follow each position.
Element x y z (fractional)
Sn 0.0000 0.4985 0.8565  5 Pt 2.74-2.78
Sn 0.5000 0.5015 0.6435  5 Pt 2.74-2.78
Sn 0.0000 0.8501 0.3171  5 Pt 2.70-2.78
Sn 0.0000 0.8501 0.6829  5 Pt 2.70-2.78
Sn 0.0000 0.8994 0.0000  4 Pt 2.66-2.69
Sn 0.5000 0.1006 0.5000  4 Pt 2.66-2.69
Sn 0.5000 0.5015 0.3565  5 Pt 2.74-2.78
Sn 0.0000 0.4985 0.1435  5 Pt 2.74-2.78
Sn 0.5000 0.1499 0.1829  5 Pt 2.70-2.78
Sn 0.5000 0.1499 0.8171  5 Pt 2.70-2.78
Pt 0.5000 0.9856 0.6733  4 Sn 2.66-2.78, 2 Pt 2.89
Pt 0.5000 0.3647 0.1896  4 Sn 2.72-2.75, 1 Pt 2.90
Pt 0.0000 0.0144 0.8267  4 Sn 2.66-2.78, 2 Pt 2.89
Pt 0.0000 0.0144 0.1733  4 Sn 2.66-2.78, 2 Pt 2.89
Pt 0.0000 0.6353 0.3104  4 Sn 2.72-2.75, 1 Pt 2.90
Pt 0.5000 0.9856 0.3267  4 Sn 2.66-2.78, 2 Pt 2.89
Pt 0.5000 0.3647 0.8104  4 Sn 2.72-2.75, 1 Pt 2.90
Pt 0.0000 0.9660 0.5000  4 Sn 2.69-2.77
Pt 0.5000 0.4892 0.0000  4 Sn 2.78, 2 Pt 2.90
Pt 0.0000 0.5108 0.5000  4 Sn 2.78, 2 Pt 2.90
Pt 0.0000 0.6353 0.6896  4 Sn 2.72-2.75, 1 Pt 2.90
Pt 0.5000 0.0340 0.0000  4 Sn 2.69-2.77
K 0.5000 0.7280 0.8649  3 Pt 3.28-3.48, 6 Sn 3.47-3.57, 1 K 3.47
K 0.5000 0.7362 0.5000  10 Pt 3.44-3.86, 6 Sn 3.45-3.49
K 0.0000 0.2638 0.0000  10 Pt 3.44-3.86, 6 Sn 3.45-3.49
K 0.0000 0.2720 0.3649  3 Pt 3.28-3.48, 6 Sn 3.47-3.57, 1 K 3.47
K 0.5000 0.7280 0.1351  3 Pt 3.28-3.48, 6 Sn 3.47-3.57, 1 K 3.47
K 0.0000 0.2720 0.6351  3 Pt 3.28-3.48, 6 Sn 3.47-3.57, 1 K 3.47

Computed properties:
**V**: 24.067 Å³ per atom
**Space-group type**: No. 59
**DFT formation energy**: -407 meV/atom

---

# 10
Below is CdGeCl2 after structural relaxation, with properties calculated at the GGA-PBE level.

Cell lengths 8.0590, 8.0590, 8.0408 Å; angles 59.93, 59.93, 90.00 degrees
Closest atoms and distances in Å follow each position.
Element x y z (fractional)
Ge 0.2500 0.7500 0.5000  4 Cl 2.52
Ge 0.5000 0.5000 0.0000  4 Cl 2.52
Cd 0.0000 0.0000 0.0000  8 Cl 4.27-4.74
Cd 0.7500 0.2500 0.5000  8 Cl 4.27-4.74
Cl 0.8750 0.6915 0.7500  2 Ge 2.52
Cl 0.3750 0.5585 0.7500  2 Ge 2.52
Cl 0.4415 0.1250 0.2500  2 Ge 2.52
Cl 0.3085 0.6250 0.2500  2 Ge 2.52

Computed properties:
**V**: 46.054 Å³ per atom
**Space-group type**: No. 122
**Polymorph energy (0 for the lowest one)**: 0 meV/atom
**Formation energy (no corrections)**: -30.8 kJ per mole of atoms

---

Which of these has the lowest V? ScPN2F

---

Which value of V does entry 9 give? 24.067 Å³ per atom

---

Which formula does entry 3 have? Ru2PbCl

---

Number 6 is which compound? Ba6Hg5N